Record 1
Crystalline Pu2TaN3 at its relaxed geometry, computed with PBE-GGA.

Output
Energy: -145.38 eV per cell
Symmetry: Immm
Polymorph energy (0 for the lowest one): 0.035 eV/atom
Total magnetization: 18.08 μB per cell
Volume: 158.0 Å³ per cell

abc: 4.7011 6.6228 5.8328
angles: 106.50 113.77 90.00
Positions (direct):
Pu (0.6674, 0.5837, 0.3347)
Pu (0.6673, 0.0837, 0.3347)
Pu (0.3327, 0.9163, 0.6653)
Pu (0.3326, 0.4163, 0.6653)
Ta (0.0000, 0.7500, 0.0000)
Ta (0.0000, 0.2500, 0.0000)
N (0.5000, 0.2500, 0.0000)
N (0.5000, 0.7500, 0.0000)
N (0.1484, 0.0743, 0.2969)
N (0.8516, 0.4257, 0.7031)
N (0.1484, 0.5743, 0.2969)
N (0.8516, 0.9257, 0.7031)

Record 2
Crystalline Tb3Pu2TaN6 at its relaxed geometry, computed with PBE-GGA.

Output
Energy: -121.67 eV per cell
Symmetry: C2/m
Total magnetization: 9.64 μB per cell
Volume: 168.1 Å³ per cell

abc: 5.9123 5.9123 5.8871
angles: 99.62 99.62 119.93
Positions (direct):
Tb (0.1660, 0.8340, 0.5000)
Tb (0.8340, 0.1660, 0.5000)
Tb (0.5000, 0.5000, 0.5000)
Pu (0.3336, 0.6664, 0.0000)
Pu (0.6664, 0.3336, 0.0000)
Ta (0.0000, 0.0000, 0.0000)
N (0.9240, 0.6109, 0.7725)
N (0.7635, 0.7635, 0.2326)
N (0.0760, 0.3891, 0.2275)
N (0.6109, 0.9240, 0.7725)
N (0.2365, 0.2365, 0.7674)
N (0.3891, 0.0760, 0.2275)

Record 3
Crystalline Tb3Pu3TaN8 at its relaxed geometry, computed with PBE-GGA.

Output
Energy: -155.44 eV per cell
Symmetry: R-3m
Total magnetization: 13.85 μB per cell
Volume: 226.1 Å³ per cell

abc: 6.8316 6.8313 6.8460
angles: 119.94 89.99 120.00
Positions (direct):
Tb (0.0000, 0.0000, 0.0000)
Tb (0.0000, 0.5000, 0.0000)
Tb (0.5000, 0.5000, 0.0000)
Pu (0.5000, 0.0000, 0.5000)
Pu (0.5000, 0.5000, 0.5000)
Pu (0.0000, 0.5000, 0.5000)
Ta (0.0000, 0.0000, 0.5000)
N (0.2513, 0.5026, 0.2539)
N (0.7487, 0.4974, 0.7461)
N (0.7777, 0.5554, 0.2869)
N (0.2223, 0.4446, 0.7131)
N (0.7777, 0.0092, 0.2869)
N (0.2223, 0.9908, 0.7131)
N (0.2315, 0.0092, 0.2869)
N (0.7685, 0.9908, 0.7131)

Record 4
Crystalline PuThTaN3 at its relaxed geometry, computed with PBE-GGA.

Output
Energy: -129.02 eV per cell
Symmetry: P2_1/m
Total magnetization: 9.70 μB per cell
Volume: 194.9 Å³ per cell

abc: 3.3724 7.3554 7.9036
angles: 83.89 90.00 90.00
Positions (direct):
Pu (0.7500, 0.8842, 0.8514)
Pu (0.2500, 0.1158, 0.1486)
Th (0.2500, 0.5806, 0.1849)
Th (0.7500, 0.4194, 0.8151)
Ta (0.2500, 0.1424, 0.5591)
Ta (0.7500, 0.8576, 0.4410)
N (0.2500, 0.8584, 0.5970)
N (0.7500, 0.8442, 0.1732)
N (0.7500, 0.3633, 0.1040)
N (0.7500, 0.1416, 0.4030)
N (0.2500, 0.6367, 0.8960)
N (0.2500, 0.1558, 0.8268)

Record 5
Crystalline Pu2ThTaN4 at its relaxed geometry, computed with PBE-GGA.

Output
Energy: -91.33 eV per cell
Symmetry: P2/m
Total magnetization: 0.90 μB per cell
Volume: 113.6 Å³ per cell

abc: 3.3916 6.0429 5.8460
angles: 108.50 90.00 90.00
Positions (direct):
Pu (0.5000, 0.0000, 0.5000)
Pu (0.0000, 0.5000, 0.5000)
Th (0.5000, 0.5000, 0.0000)
Ta (0.0000, 0.0000, 0.0000)
N (0.5000, 0.2116, 0.2218)
N (0.5000, 0.7884, 0.7782)
N (0.0000, 0.2143, 0.7603)
N (0.0000, 0.7857, 0.2397)

Record 6
Crystalline Pu2TaTiN4 at its relaxed geometry, computed with PBE-GGA.

Output
Energy: -92.40 eV per cell
Symmetry: P2/m
Total magnetization: 0.02 μB per cell
Volume: 97.9 Å³ per cell

abc: 3.2359 5.5894 5.7190
angles: 108.86 90.00 90.00
Positions (direct):
Pu (0.5000, 0.0000, 0.5000)
Pu (0.0000, 0.5000, 0.5000)
Ta (0.5000, 0.5000, 0.0000)
Ti (0.0000, 0.0000, 0.0000)
N (0.5000, 0.2389, 0.2152)
N (0.5000, 0.7611, 0.7848)
N (0.0000, 0.2597, 0.7847)
N (0.0000, 0.7403, 0.2153)